(1)
VASP calculation (GGA-PBE) on LaSi2Ag after structural relaxation.

## Properties
space-group type	P4/mmm
VASP energy	-19.220	eV per formula unit
V	85	Å³/cell
raw formation energy	-0.149	eV/atom

a b c (Å): 4.4528 4.4528 4.2685
angles (deg): 90.00 90.00 90.00
Last column: nearest neighbours and their distance in Å.
Atoms (fractional coordinates):
La: 0.0000 0.0000 0.0000  8 Si 3.08, 4 Ag 3.15
Si: 0.0000 0.5000 0.5000  4 La 3.08, 4 Ag 3.08, 4 Si 3.15
Si: 0.5000 0.0000 0.5000  4 La 3.08, 4 Ag 3.08, 4 Si 3.15
Ag: 0.5000 0.5000 0.0000  8 Si 3.08, 4 La 3.15


(2)
VASP calculation (GGA-PBE) on LaSi2Ag after structural relaxation.

## Properties
space-group type	Pnma
VASP energy	-20.763	eV per formula unit
V	664	Å³/cell
raw formation energy	-0.535	eV/atom

a b c (Å): 13.9995 4.3002 11.0345
angles (deg): 90.00 90.00 90.00
Last column: nearest neighbours and their distance in Å.
Atoms (fractional coordinates):
La: 0.0537 0.2500 0.2452  9 Si 3.11-3.36, 3 Ag 3.43-3.45
La: 0.1971 0.7500 0.9732  10 Si 3.20-3.32, 4 Ag 3.31-3.54
La: 0.3029 0.2500 0.4732  10 Si 3.20-3.32, 4 Ag 3.31-3.54
La: 0.4463 0.7500 0.7452  9 Si 3.11-3.36, 3 Ag 3.43-3.45
La: 0.5537 0.2500 0.2548  9 Si 3.11-3.36, 3 Ag 3.43-3.45
La: 0.6971 0.7500 0.5268  10 Si 3.20-3.32, 4 Ag 3.31-3.54
La: 0.8029 0.2500 0.0268  10 Si 3.20-3.32, 4 Ag 3.31-3.54
La: 0.9463 0.7500 0.7548  9 Si 3.11-3.36, 3 Ag 3.43-3.45
Si: 0.0279 0.2500 0.9651  3 Si 2.34-2.41
Si: 0.1107 0.2500 0.7806  2 Si 2.34-2.42, 1 Ag 2.58
Si: 0.1304 0.7500 0.4545  1 Si 2.35, 3 Ag 2.60-2.62
Si: 0.2164 0.7500 0.2720  2 Si 2.35-2.42
Si: 0.2836 0.2500 0.7720  2 Si 2.35-2.42
Si: 0.3696 0.2500 0.9545  1 Si 2.35, 3 Ag 2.60-2.62
Si: 0.3893 0.7500 0.2806  2 Si 2.34-2.42, 1 Ag 2.58
Si: 0.4721 0.7500 0.4651  3 Si 2.34-2.41
Si: 0.5279 0.2500 0.5349  3 Si 2.34-2.41
Si: 0.6107 0.2500 0.7194  2 Si 2.34-2.42, 1 Ag 2.58
Si: 0.6304 0.7500 0.0455  1 Si 2.35, 3 Ag 2.60-2.62
Si: 0.7164 0.7500 0.2280  2 Si 2.35-2.42
Si: 0.7836 0.2500 0.7280  2 Si 2.35-2.42
Si: 0.8696 0.2500 0.5455  1 Si 2.35, 3 Ag 2.60-2.62
Si: 0.8893 0.7500 0.2194  2 Si 2.34-2.42, 1 Ag 2.58
Si: 0.9721 0.7500 0.0349  3 Si 2.34-2.41
Ag: 0.0589 0.2500 0.5561  4 Si 2.58-2.65
Ag: 0.2001 0.7500 0.6731  5 Si 2.60-2.76
Ag: 0.2999 0.2500 0.1731  5 Si 2.60-2.76
Ag: 0.4411 0.7500 0.0561  4 Si 2.58-2.65
Ag: 0.5589 0.2500 0.9439  4 Si 2.58-2.65
Ag: 0.7001 0.7500 0.8269  5 Si 2.60-2.76
Ag: 0.7999 0.2500 0.3269  5 Si 2.60-2.76
Ag: 0.9411 0.7500 0.4439  4 Si 2.58-2.65


(3)
VASP calculation (GGA-PBE) on LaSi2Ag after structural relaxation.

## Properties
space-group type	Pmmm
VASP energy	-19.379	eV per formula unit
V	86	Å³/cell
raw formation energy	-0.189	eV/atom

a b c (Å): 3.2076 4.2847 6.2536
angles (deg): 90.00 90.00 90.00
Last column: nearest neighbours and their distance in Å.
Atoms (fractional coordinates):
La: 0.0000 0.0000 0.0000  2 La 3.21, 8 Si 3.23, 4 Ag 3.51
Si: 0.5000 0.5000 0.2893  2 Ag 2.51, 1 Si 2.63
Si: 0.5000 0.5000 0.7107  2 Ag 2.51, 1 Si 2.63
Ag: 0.5000 0.0000 0.5000  4 Si 2.51


(4)
VASP calculation (GGA-PBE) on LaSi2Ag6 after structural relaxation.

## Properties
space-group type	P4/mmm
VASP energy	-34.803	eV per formula unit
V	172	Å³/cell
raw formation energy	-0.214	eV/atom

a b c (Å): 4.3356 4.3356 9.1732
angles (deg): 90.00 90.00 90.00
Last column: nearest neighbours and their distance in Å.
Atoms (fractional coordinates):
La: 0.0000 0.0000 0.0000  8 Si 3.28, 8 Ag 3.39
Si: 0.5000 0.5000 0.1277  1 Si 2.34, 4 Ag 2.60
Si: 0.5000 0.5000 0.8723  1 Si 2.34, 4 Ag 2.60
Ag: 0.0000 0.0000 0.5000  12 Ag 2.93-3.07
Ag: 0.0000 0.5000 0.2847  2 Si 2.60
Ag: 0.0000 0.5000 0.7153  2 Si 2.60
Ag: 0.5000 0.0000 0.2847  2 Si 2.60
Ag: 0.5000 0.0000 0.7153  2 Si 2.60
Ag: 0.5000 0.5000 0.5000  12 Ag 2.93-3.07


(5)
VASP calculation (GGA-PBE) on La6Si2Ag after structural relaxation.

## Properties
space-group type	Immm
VASP energy	-46.780	eV per formula unit
V	547	Å³/cell
raw formation energy	-0.391	eV/atom

a b c (Å): 8.9258 8.9258 8.9258
angles (deg): 110.44 110.18 107.80
Last column: nearest neighbours and their distance in Å.
Atoms (fractional coordinates):
La: 0.0462 0.2486 0.7977  2 Si 3.11-3.37, 2 Ag 3.33-3.36
La: 0.1737 0.2683 0.4420  3 Si 3.19-3.38, 1 Ag 3.26, 1 La 3.55
La: 0.1737 0.7317 0.9053  3 Si 3.19-3.38, 1 Ag 3.26, 1 La 3.55
La: 0.3246 0.0290 0.7044  3 Si 3.04-3.09
La: 0.3246 0.6203 0.2956  3 Si 3.04-3.09
La: 0.4509 0.2486 0.2023  2 Si 3.11-3.37, 2 Ag 3.33-3.36
La: 0.5491 0.7514 0.7977  2 Si 3.11-3.37, 2 Ag 3.33-3.36
La: 0.6754 0.3797 0.7044  3 Si 3.04-3.09
La: 0.6754 0.9710 0.2956  3 Si 3.04-3.09
La: 0.8263 0.2683 0.0947  3 Si 3.19-3.38, 1 Ag 3.26, 1 La 3.55
La: 0.8263 0.7317 0.5580  3 Si 3.19-3.38, 1 Ag 3.26, 1 La 3.55
La: 0.9538 0.7514 0.2023  2 Si 3.11-3.37, 2 Ag 3.33-3.36
Si: 0.1139 0.6139 0.5000  1 Si 2.40
Si: 0.3679 0.0000 0.3679  1 Si 2.70
Si: 0.6321 0.0000 0.6321  1 Si 2.70
Si: 0.8861 0.3861 0.5000  1 Si 2.40
Ag: 0.0000 0.0000 0.0000  8 La 3.26-3.33
Ag: 0.5000 0.5000 0.0000  8 La 3.36-3.53


(6)
VASP calculation (GGA-PBE) on LaSi2Ag2 after structural relaxation.

## Properties
space-group type	C2/m
VASP energy	-23.782	eV per formula unit
V	200	Å³/cell
raw formation energy	-0.461	eV/atom

a b c (Å): 6.1276 6.1194 6.1341
angles (deg): 90.00 119.81 90.00
Last column: nearest neighbours and their distance in Å.
Atoms (fractional coordinates):
La: 0.0000 0.0000 0.0000  8 Si 3.28, 8 Ag 3.43
La: 0.5000 0.5000 0.0000  8 Si 3.28, 8 Ag 3.43
Si: 0.1104 0.5000 0.2206  1 Si 2.35, 4 Ag 2.62-2.63
Si: 0.3896 0.0000 0.7794  1 Si 2.35, 4 Ag 2.62-2.63
Si: 0.6104 0.0000 0.2206  1 Si 2.35, 4 Ag 2.62-2.63
Si: 0.8896 0.5000 0.7794  1 Si 2.35, 4 Ag 2.62-2.63
Ag: 0.0000 0.2500 0.5000  4 Si 2.62-2.63
Ag: 0.0000 0.7500 0.5000  4 Si 2.62-2.63
Ag: 0.5000 0.2500 0.5000  4 Si 2.62-2.63
Ag: 0.5000 0.7500 0.5000  4 Si 2.62-2.63


(7)
VASP calculation (GGA-PBE) on LaSiAg4 after structural relaxation.

## Properties
space-group type	F-43m
VASP energy	-22.006	eV per formula unit
V	126	Å³/cell
raw formation energy	-0.042	eV/atom

a b c (Å): 5.6306 5.6306 5.6306
angles (deg): 60.00 60.00 60.00
Last column: nearest neighbours and their distance in Å.
Atoms (fractional coordinates):
La: 0.0000 0.0000 0.0000  12 Ag 3.30, 4 Si 3.45
Si: 0.7500 0.7500 0.7500  12 Ag 3.30, 4 La 3.45
Ag: 0.3754 0.3754 0.3754  6 Ag 2.81-2.82
Ag: 0.3754 0.3754 0.8738  6 Ag 2.81-2.82
Ag: 0.3754 0.8738 0.3754  6 Ag 2.81-2.82
Ag: 0.8738 0.3754 0.3754  6 Ag 2.81-2.82


(8)
VASP calculation (GGA-PBE) on La2Si2Ag after structural relaxation.

## Properties
space-group type	P4/mbm
VASP energy	-26.500	eV per formula unit
V	244	Å³/cell
raw formation energy	-0.590	eV/atom

a b c (Å): 7.3614 7.3614 4.5030
angles (deg): 90.00 90.00 90.00
Last column: nearest neighbours and their distance in Å.
Atoms (fractional coordinates):
La: 0.1786 0.3214 0.0000  6 Si 3.11-3.16
La: 0.3214 0.8214 0.0000  6 Si 3.11-3.16
La: 0.6786 0.1786 0.0000  6 Si 3.11-3.16
La: 0.8214 0.6786 0.0000  6 Si 3.11-3.16
Si: 0.1160 0.6160 0.5000  1 Si 2.42
Si: 0.3840 0.1160 0.5000  1 Si 2.42
Si: 0.6160 0.8840 0.5000  1 Si 2.42
Si: 0.8840 0.3840 0.5000  1 Si 2.42
Ag: 0.0000 0.0000 0.5000  4 Si 2.95
Ag: 0.5000 0.5000 0.5000  4 Si 2.95


(9)
VASP calculation (GGA-PBE) on LaSiAg after structural relaxation.

## Properties
space-group type	Imm2
VASP energy	-14.214	eV per formula unit
V	294	Å³/cell
raw formation energy	-0.337	eV/atom

a b c (Å): 3.9394 4.6063 16.1938
angles (deg): 90.00 90.00 90.00
Last column: nearest neighbours and their distance in Å.
Atoms (fractional coordinates):
La: 0.0000 0.0000 0.0000  6 Si 3.11, 1 Ag 3.29
La: 0.0000 0.0000 0.2256  2 Si 3.07, 4 Ag 3.24
La: 0.5000 0.5000 0.5000  6 Si 3.11, 1 Ag 3.29
La: 0.5000 0.5000 0.7256  2 Si 3.07, 4 Ag 3.24
Si: 0.0000 0.0000 0.4577  2 Si 2.41, 1 Ag 2.61
Si: 0.0000 0.5000 0.8714  2 Si 2.41, 2 Ag 2.60
Si: 0.5000 0.0000 0.3714  2 Si 2.41, 2 Ag 2.60
Si: 0.5000 0.5000 0.9577  2 Si 2.41, 1 Ag 2.61
Ag: 0.0000 0.0000 0.6190  1 Si 2.61, 1 Ag 2.88
Ag: 0.0000 0.0000 0.7966  2 Si 2.60, 1 Ag 2.88
Ag: 0.5000 0.5000 0.1190  1 Si 2.61, 1 Ag 2.88
Ag: 0.5000 0.5000 0.2966  2 Si 2.60, 1 Ag 2.88


(10)
VASP calculation (GGA-PBE) on LaSi2Ag after structural relaxation.

## Properties
space-group type	I-42d
VASP energy	-19.240	eV per formula unit
V	384	Å³/cell
raw formation energy	-0.154	eV/atom

a b c (Å): 4.7179 4.7179 17.2683
angles (deg): 90.00 90.00 90.00
Last column: nearest neighbours and their distance in Å.
Atoms (fractional coordinates):
La: 0.0000 0.0000 0.0000  4 Si 3.12, 4 Ag 3.34
La: 0.0000 0.5000 0.2500  4 Si 3.12, 4 Ag 3.34
La: 0.5000 0.0000 0.7500  4 Si 3.12, 4 Ag 3.34
La: 0.5000 0.5000 0.5000  4 Si 3.12, 4 Ag 3.34
Si: 0.0919 0.2500 0.6250  2 Ag 2.50, 2 Si 2.51
Si: 0.2500 0.5919 0.8750  2 Ag 2.50, 2 Si 2.51
Si: 0.2500 0.9081 0.3750  2 Ag 2.50, 2 Si 2.51
Si: 0.4081 0.2500 0.1250  2 Ag 2.50, 2 Si 2.51
Si: 0.5919 0.7500 0.1250  2 Ag 2.50, 2 Si 2.51
Si: 0.7500 0.0919 0.3750  2 Ag 2.50, 2 Si 2.51
Si: 0.7500 0.4081 0.8750  2 Ag 2.50, 2 Si 2.51
Si: 0.9081 0.7500 0.6250  2 Ag 2.50, 2 Si 2.51
Ag: 0.0000 0.0000 0.5000  4 Si 2.50
Ag: 0.0000 0.5000 0.7500  4 Si 2.50
Ag: 0.5000 0.0000 0.2500  4 Si 2.50
Ag: 0.5000 0.5000 0.0000  4 Si 2.50